DFT (PBE-GGA) results for crystalline NiSnOsS2 at its relaxed geometry.

Calculated values
Energy relative to the elements, uncorrected = 0.77 eV/atom
Space group = P4/mmm, No. 123
N(E_F) = 6.5 states/eV/f.u.
VASP energy = -25.42 eV/cell

Unit cell a=4.3928 b=4.3928 c=5.9681 alpha=90.00 beta=90.00 gamma=90.00
Closest atoms and distances in Å follow each position.
Atoms (fractional coordinates):
Ni1 0.0000 0.0000 0.0000  4 Sn 3.11
Sn1 0.5000 0.5000 0.0000  2 Os 2.98, 4 Ni 3.11
Os1 0.5000 0.5000 0.5000  4 S 2.20
S1 0.0000 0.5000 0.5000  2 Os 2.20
S2 0.5000 0.0000 0.5000  2 Os 2.20